1.
Density functional theory data (GGA-PBE) for a geometry-optimized FeHg2TeAu structure.

```
data_FeHg2TeAu
_chemical_formula_sum 'Fe1 Hg2 Te1 Au1'
_cell_length_a 5.097
_cell_length_b 4.995
_cell_length_c 5.097
_cell_angle_alpha 90.00
_cell_angle_beta 90.00
_cell_angle_gamma 90.00
_space_group_name_H-M_alt 'P 1'
_space_group_IT_number 1
_space_group_name_Hall 'P 1'
loop_
_atom_site_label
_atom_site_type_symbol
_atom_site_fract_x
_atom_site_fract_y
_atom_site_fract_z
Au1 Au 0.000 0.500 0.000
Te1 Te 0.500 0.500 0.500
Fe1 Fe 0.000 0.000 0.000
Hg1 Hg 0.000 0.000 0.500
Hg2 Hg 0.500 0.000 0.000
```

DOS at the Fermi energy ... 3.9 states/eV/cell
E ... -12.6 eV/cell
ΔE_f (raw) ... 0.5748 eV/atom
Space group ... P4/mmm, No. 123


2.
Density functional theory data (GGA-PBE) for a geometry-optimized Th2FeHgAu structure.

```
data_Th2FeHgAu
_chemical_formula_sum 'Th4 Fe2 Hg2 Au2'
_cell_length_a 3.855
_cell_length_b 8.208
_cell_length_c 8.444
_cell_angle_alpha 115.95
_cell_angle_beta 90.00
_cell_angle_gamma 90.00
_space_group_name_H-M_alt 'P 1'
_space_group_IT_number 1
_space_group_name_Hall 'P 1'
loop_
_atom_site_label
_atom_site_type_symbol
_atom_site_fract_x
_atom_site_fract_y
_atom_site_fract_z
Th1 Th 0.250 0.295 0.008
Th2 Th 0.250 0.128 0.339
Th3 Th 0.750 0.705 0.992
Th4 Th 0.750 0.872 0.661
Au1 Au 0.250 0.560 0.654
Au2 Au 0.750 0.440 0.346
Fe1 Fe 0.250 0.920 0.920
Fe2 Fe 0.750 0.080 0.080
Hg1 Hg 0.750 0.284 0.686
Hg2 Hg 0.250 0.716 0.314
```

DOS at the Fermi energy ... 9.0 states/eV/cell
E ... -56.9 eV/cell
Space group ... P2_1/m, No. 11
Formation enthalpy at 0 K ... -0.3131 eV/atom


3.
Density functional theory data (GGA-PBE) for a geometry-optimized YFeHg2Au structure.

```
data_YFeHg2Au
_chemical_formula_sum 'Y1 Fe1 Hg2 Au1'
_cell_length_a 5.225
_cell_length_b 5.225
_cell_length_c 5.486
_cell_angle_alpha 90.00
_cell_angle_beta 90.00
_cell_angle_gamma 90.00
_space_group_name_H-M_alt 'P 1'
_space_group_IT_number 1
_space_group_name_Hall 'P 1'
loop_
_atom_site_label
_atom_site_type_symbol
_atom_site_fract_x
_atom_site_fract_y
_atom_site_fract_z
Fe1 Fe 0.500 0.500 0.500
Hg1 Hg 0.500 0.000 0.000
Hg2 Hg 0.000 0.500 0.000
Y1 Y 0.000 0.000 0.500
Au1 Au 0.000 0.000 0.000
```

DOS at the Fermi energy ... 6.9 states/eV/cell
E ... -15.6 eV/cell
Space group ... P4/mmm, No. 123
Formation enthalpy at 0 K ... 0.6483 eV/atom


4.
Density functional theory data (GGA-PBE) for a geometry-optimized Ho4FeAu structure.

```
data_Ho4FeAu
_chemical_formula_sum 'Ho8 Fe2 Au2'
_cell_length_a 6.094
_cell_length_b 7.796
_cell_length_c 7.796
_cell_angle_alpha 111.10
_cell_angle_beta 106.06
_cell_angle_gamma 106.06
_space_group_name_H-M_alt 'P 1'
_space_group_IT_number 1
_space_group_name_Hall 'P 1'
loop_
_atom_site_label
_atom_site_type_symbol
_atom_site_fract_x
_atom_site_fract_y
_atom_site_fract_z
Ho1 Ho 0.083 0.942 0.287
Ho2 Ho 0.917 0.058 0.713
Ho3 Ho 0.417 0.713 0.058
Ho4 Ho 0.190 0.350 0.216
Ho5 Ho 0.310 0.784 0.650
Ho6 Ho 0.583 0.287 0.942
Ho7 Ho 0.690 0.216 0.350
Ho8 Ho 0.810 0.650 0.784
Au1 Au 0.250 0.369 0.631
Au2 Au 0.750 0.631 0.369
Fe1 Fe 0.250 0.001 0.999
Fe2 Fe 0.750 0.999 0.001
```

DOS at the Fermi energy ... 13.2 states/eV/cell
E ... -63.8 eV/cell
Space group ... C2/c, No. 15
Formation enthalpy at 0 K ... -0.3041 eV/atom


5.
Density functional theory data (GGA-PBE) for a geometry-optimized Ho8FeAu2 structure.

```
data_Ho8FeAu2
_chemical_formula_sum 'Ho8 Fe1 Au2'
_cell_length_a 5.123
_cell_length_b 6.749
_cell_length_c 8.930
_cell_angle_alpha 106.35
_cell_angle_beta 106.67
_cell_angle_gamma 90.00
_space_group_name_H-M_alt 'P 1'
_space_group_IT_number 1
_space_group_name_Hall 'P 1'
loop_
_atom_site_label
_atom_site_type_symbol
_atom_site_fract_x
_atom_site_fract_y
_atom_site_fract_z
Au1 Au 0.186 0.715 0.372
Au2 Au 0.814 0.285 0.628
Ho1 Ho 0.410 0.570 0.820
Ho2 Ho 0.973 0.206 0.945
Ho3 Ho 0.342 0.036 0.685
Ho4 Ho 0.658 0.964 0.315
Ho5 Ho 0.799 0.696 0.598
Ho6 Ho 0.027 0.794 0.055
Ho7 Ho 0.201 0.304 0.402
Ho8 Ho 0.590 0.430 0.180
Fe1 Fe 0.500 0.000 0.000
```

DOS at the Fermi energy ... 9.6 states/eV/cell
E ... -55.1 eV/cell
Space group ... C2/m, No. 12
Formation enthalpy at 0 K ... -0.3123 eV/atom


6.
Density functional theory data (GGA-PBE) for a geometry-optimized Ho5Fe2Au2 structure.

```
data_Ho5Fe2Au2
_chemical_formula_sum 'Ho10 Fe4 Au4'
_cell_length_a 7.173
_cell_length_b 7.233
_cell_length_c 8.726
_cell_angle_alpha 90.00
_cell_angle_beta 65.73
_cell_angle_gamma 90.00
_space_group_name_H-M_alt 'P 1'
_space_group_IT_number 1
_space_group_name_Hall 'P 1'
loop_
_atom_site_label
_atom_site_type_symbol
_atom_site_fract_x
_atom_site_fract_y
_atom_site_fract_z
Ho1 Ho 0.809 0.821 0.739
Ho2 Ho 0.452 0.179 0.739
Ho3 Ho 0.691 0.321 0.261
Ho4 Ho 0.048 0.679 0.261
Ho5 Ho 0.500 0.500 0.000
Ho6 Ho 0.000 0.000 0.000
Ho7 Ho 0.952 0.321 0.739
Ho8 Ho 0.309 0.679 0.739
Ho9 Ho 0.191 0.179 0.261
Ho10 Ho 0.548 0.821 0.261
Fe1 Fe 0.894 0.608 0.000
Fe2 Fe 0.606 0.108 0.000
Fe3 Fe 0.394 0.892 0.000
Fe4 Fe 0.106 0.392 0.000
Au1 Au 0.785 0.000 0.431
Au2 Au 0.215 0.000 0.569
Au3 Au 0.285 0.500 0.431
Au4 Au 0.715 0.500 0.569
```

DOS at the Fermi energy ... 18.5 states/eV/cell
E ... -99.6 eV/cell
Space group ... Cmce, No. 64
Formation enthalpy at 0 K ... -0.3830 eV/atom


7.
Density functional theory data (GGA-PBE) for a geometry-optimized Ho2FeAu structure.

```
data_Ho2FeAu
_chemical_formula_sum 'Ho2 Fe1 Au1'
_cell_length_a 3.360
_cell_length_b 3.360
_cell_length_c 7.263
_cell_angle_alpha 90.00
_cell_angle_beta 90.00
_cell_angle_gamma 90.00
_space_group_name_H-M_alt 'P 1'
_space_group_IT_number 1
_space_group_name_Hall 'P 1'
loop_
_atom_site_label
_atom_site_type_symbol
_atom_site_fract_x
_atom_site_fract_y
_atom_site_fract_z
Ho1 Ho 0.000 0.000 0.224
Ho2 Ho 0.000 0.000 0.776
Au1 Au 0.500 0.500 0.500
Fe1 Fe 0.500 0.500 0.000
```

DOS at the Fermi energy ... 2.0 states/eV/cell
E ... -22.4 eV/cell
Space group ... P4/mmm, No. 123
Formation enthalpy at 0 K ... -0.3660 eV/atom


8.
Density functional theory data (GGA-PBE) for a geometry-optimized Ho5Fe2Au structure.

```
data_Ho5Fe2Au
_chemical_formula_sum 'Ho10 Fe4 Au2'
_cell_length_a 7.255
_cell_length_b 7.255
_cell_length_c 8.771
_cell_angle_alpha 114.43
_cell_angle_beta 114.43
_cell_angle_gamma 90.00
_space_group_name_H-M_alt 'P 1'
_space_group_IT_number 1
_space_group_name_Hall 'P 1'
loop_
_atom_site_label
_atom_site_type_symbol
_atom_site_fract_x
_atom_site_fract_y
_atom_site_fract_z
Fe1 Fe 0.392 0.892 0.000
Fe2 Fe 0.892 0.608 0.000
Fe3 Fe 0.608 0.108 0.000
Fe4 Fe 0.108 0.392 0.000
Ho1 Ho 0.187 0.036 0.723
Ho2 Ho 0.036 0.536 0.723
Ho3 Ho 0.536 0.687 0.723
Ho4 Ho 0.964 0.464 0.277
Ho5 Ho 0.464 0.313 0.277
Ho6 Ho 0.687 0.187 0.723
Ho7 Ho 0.500 0.500 0.000
Ho8 Ho 0.000 0.000 0.000
Ho9 Ho 0.813 0.964 0.277
Ho10 Ho 0.313 0.813 0.277
Au1 Au 0.750 0.750 0.500
Au2 Au 0.250 0.250 0.500
```

DOS at the Fermi energy ... 17.4 states/eV/cell
E ... -90.4 eV/cell
Space group ... I4/mcm, No. 140
Formation enthalpy at 0 K ... -0.2605 eV/atom


9.
Density functional theory data (GGA-PBE) for a geometry-optimized Ho6Fe2Au structure.

```
data_Ho6Fe2Au
_chemical_formula_sum 'Ho12 Fe4 Au2'
_cell_length_a 8.240
_cell_length_b 8.240
_cell_length_c 8.240
_cell_angle_alpha 107.37
_cell_angle_beta 109.94
_cell_angle_gamma 111.13
_space_group_name_H-M_alt 'P 1'
_space_group_IT_number 1
_space_group_name_Hall 'P 1'
loop_
_atom_site_label
_atom_site_type_symbol
_atom_site_fract_x
_atom_site_fract_y
_atom_site_fract_z
Fe1 Fe 0.500 0.390 0.890
Fe2 Fe 0.615 0.000 0.615
Fe3 Fe 0.500 0.610 0.110
Fe4 Fe 0.385 0.000 0.385
Ho1 Ho 0.705 0.021 0.316
Ho2 Ho 0.705 0.389 0.684
Ho3 Ho 0.208 0.223 0.431
Ho4 Ho 0.295 0.611 0.316
Ho5 Ho 0.897 0.711 0.186
Ho6 Ho 0.476 0.289 0.186
Ho7 Ho 0.208 0.777 0.985
Ho8 Ho 0.524 0.711 0.814
Ho9 Ho 0.295 0.979 0.684
Ho10 Ho 0.103 0.289 0.814
Ho11 Ho 0.792 0.223 0.015
Ho12 Ho 0.792 0.777 0.569
Au1 Au 0.000 0.500 0.500
Au2 Au 0.000 0.000 0.000
```

DOS at the Fermi energy ... 19.4 states/eV/cell
E ... -99.5 eV/cell
Space group ... Immm, No. 71
Formation enthalpy at 0 K ... -0.2287 eV/atom


10.
Density functional theory data (GGA-PBE) for a geometry-optimized HoTmFeAu structure.

```
data_HoTmFeAu
_chemical_formula_sum 'Ho1 Tm1 Fe1 Au1'
_cell_length_a 4.904
_cell_length_b 4.904
_cell_length_c 4.904
_cell_angle_alpha 60.00
_cell_angle_beta 60.00
_cell_angle_gamma 60.00
_space_group_name_H-M_alt 'P 1'
_space_group_IT_number 1
_space_group_name_Hall 'P 1'
loop_
_atom_site_label
_atom_site_type_symbol
_atom_site_fract_x
_atom_site_fract_y
_atom_site_fract_z
Au1 Au 0.750 0.750 0.750
Fe1 Fe 0.250 0.250 0.250
Tm1 Tm 0.000 0.000 0.000
Ho1 Ho 0.500 0.500 0.500
```

DOS at the Fermi energy ... 6.2 states/eV/cell
E ... -22.1 eV/cell
Space group ... F-43m, No. 216
Formation enthalpy at 0 K ... -0.3168 eV/atom


11.
Density functional theory data (GGA-PBE) for a geometry-optimized FeAuI2 structure.

```
data_FeAuI2
_chemical_formula_sum 'Fe1 Au1 I2'
_cell_length_a 5.213
_cell_length_b 5.213
_cell_length_c 5.213
_cell_angle_alpha 60.00
_cell_angle_beta 60.00
_cell_angle_gamma 60.00
_space_group_name_H-M_alt 'P 1'
_space_group_IT_number 1
_space_group_name_Hall 'P 1'
loop_
_atom_site_label
_atom_site_type_symbol
_atom_site_fract_x
_atom_site_fract_y
_atom_site_fract_z
Au1 Au 0.500 0.500 0.500
Fe1 Fe 0.000 0.000 0.000
I1 I 0.250 0.250 0.250
I2 I 0.750 0.750 0.750
```

DOS at the Fermi energy ... 6.1 states/eV/cell
E ... -12.0 eV/cell
Energy above the lowest structure with this stoichiometry ... 438.1 meV per atom
ΔE_f (raw) ... 0.7224 eV/atom
Space group ... Fm-3m, No. 225


12.
Density functional theory data (GGA-PBE) for a geometry-optimized FeAuI2 structure.

```
data_FeAuI2
_chemical_formula_sum 'Fe2 Au2 I4'
_cell_length_a 6.370
_cell_length_b 6.370
_cell_length_c 7.684
_cell_angle_alpha 65.51
_cell_angle_beta 65.51
_cell_angle_gamma 90.00
_space_group_name_H-M_alt 'P 1'
_space_group_IT_number 1
_space_group_name_Hall 'P 1'
loop_
_atom_site_label
_atom_site_type_symbol
_atom_site_fract_x
_atom_site_fract_y
_atom_site_fract_z
Au1 Au 0.000 0.000 0.000
Au2 Au 0.750 0.250 0.500
I1 I 0.375 0.405 0.750
I2 I 0.875 0.845 0.750
I3 I 0.595 0.125 0.250
I4 I 0.155 0.625 0.250
Fe1 Fe 0.500 0.500 0.000
Fe2 Fe 0.250 0.750 0.500
```

DOS at the Fermi energy ... 1.7 states/eV/cell
E ... -27.4 eV/cell
Energy above the lowest structure with this stoichiometry ... 0.0 meV per atom
ΔE_f (raw) ... 0.2843 eV/atom
Space group ... I-42d, No. 122


What is the DOS at the Fermi energy in the second record? 9.0 states/eV/cell